No. 1
Entry from the Alexandria database: crystalline Li2Co2Hg at its relaxed geometry (PBE).

Properties
Offset from the most stable computed form: 25.7 kJ/mol of atoms
Total magnetization: 5.5 μB/cell
Space-group type: No. 127
VASP energy: -3.24 eV/atom
V: 13.4 Å³/atom

Cell: 6.749 6.749 2.947 Å, 90.00 90.00 90.00°
Atoms (fractional coordinates):
Li 0.123 0.377 0.000
Li 0.377 0.877 0.000
Li 0.623 0.123 0.000
Li 0.877 0.623 0.000
Co 0.174 0.674 0.500
Co 0.326 0.174 0.500
Co 0.674 0.826 0.500
Co 0.826 0.326 0.500
Hg 0.000 0.000 0.000
Hg 0.500 0.500 0.000

***

No. 2
Entry from the Alexandria database: crystalline Li2Co2Hg at its relaxed geometry (PBE).

Properties
Offset from the most stable computed form: 0.0 kJ/mol of atoms
Total magnetization: 3.2 μB/cell
Space-group type: No. 139
VASP energy: -3.50 eV/atom
V: 16.1 Å³/atom

Cell: 8.020 8.020 8.020 Å, 156.74 156.74 33.13°
Atoms (fractional coordinates):
Li 0.113 0.113 0.000
Li 0.887 0.887 0.000
Co 0.250 0.750 0.500
Co 0.750 0.250 0.500
Hg 0.500 0.500 0.000

***

No. 3
Entry from the Alexandria database: crystalline LiCoHg at its relaxed geometry (PBE).

Properties
Offset from the most stable computed form: 3.4 kJ/mol of atoms
Total magnetization: 1.4 μB/cell
Space-group type: No. 107
VASP energy: -2.86 eV/atom
V: 15.1 Å³/atom

Cell: 4.899 4.899 4.899 Å, 141.46 141.46 55.65°
Atoms (fractional coordinates):
Li 0.000 0.000 0.000
Co 0.348 0.348 0.000
Hg 0.673 0.673 0.000

***

No. 4
Entry from the Alexandria database: crystalline LiCoHg2 at its relaxed geometry (PBE).

Properties
Total magnetization: 1.1 μB/cell
Space-group type: No. 123
VASP energy: -2.35 eV/atom
V: 16.3 Å³/atom

Cell: 4.535 4.535 3.172 Å, 90.00 90.00 90.00°
Atoms (fractional coordinates):
Li 0.000 0.000 0.000
Co 0.500 0.500 0.000
Hg 0.000 0.500 0.500
Hg 0.500 0.000 0.500

***

No. 5
Entry from the Alexandria database: crystalline Li2CoHg at its relaxed geometry (PBE).

Properties
Total magnetization: 1.2 μB/cell
Space-group type: No. 25
VASP energy: -2.68 eV/atom
V: 15.5 Å³/atom

Cell: 2.787 4.032 5.515 Å, 90.00 90.00 90.00°
Atoms (fractional coordinates):
Li 0.000 0.000 0.000
Li 0.500 0.500 0.260
Co 0.000 0.000 0.495
Hg 0.500 0.500 0.738

***

No. 6
Entry from the Alexandria database: crystalline LiCoHg2 at its relaxed geometry (PBE).

Properties
Total magnetization: 1.4 μB/cell
Space-group type: No. 25
VASP energy: -2.23 eV/atom
V: 17.6 Å³/atom

Cell: 3.018 4.140 5.621 Å, 90.00 90.00 90.00°
Atoms (fractional coordinates):
Li 0.000 0.000 0.000
Co 0.500 0.500 0.281
Hg 0.000 0.000 0.454
Hg 0.500 0.500 0.799

***

No. 7
Entry from the Alexandria database: crystalline Li2CoHg at its relaxed geometry (PBE).

Properties
Total magnetization: 1.4 μB/cell
Space-group type: No. 123
VASP energy: -2.67 eV/atom
V: 14.8 Å³/atom

Cell: 3.219 3.219 5.730 Å, 90.00 90.00 90.00°
Atoms (fractional coordinates):
Li 0.000 0.000 0.225
Li 0.000 0.000 0.775
Co 0.500 0.500 0.000
Hg 0.500 0.500 0.500

***

No. 8
Entry from the Alexandria database: crystalline LiCoHg2 at its relaxed geometry (PBE).

Properties
Total magnetization: 1.4 μB/cell
Space-group type: No. 8
VASP energy: -2.28 eV/atom
V: 17.0 Å³/atom

Cell: 5.165 5.165 4.638 Å, 102.78 102.78 34.47°
Atoms (fractional coordinates):
Li 0.000 0.000 0.000
Co 0.737 0.737 0.347
Hg 0.248 0.248 0.852
Hg 0.478 0.478 0.469